1.
Li2YSe: optimized geometry, PBE.

Calculated values
* V: 24.4 Å³/atom
* VASP energy: -0.1548 hartree per atom
* raw formation energy: -0.767 eV per atom

```
data_Li2YSe
_cell_length_a 3.982
_cell_length_b 3.982
_cell_length_c 12.318
_cell_angle_alpha 90.00
_cell_angle_beta 90.00
_cell_angle_gamma 90.00
_symmetry_space_group_name_H-M 'I 4/m m m'
_symmetry_Int_Tables_number 139
_symmetry_space_group_name_Hall '-I 4 2'
loop_
_atom_site_label
_atom_site_type_symbol
_atom_site_fract_x
_atom_site_fract_y
_atom_site_fract_z
Li1 Li 0.000 0.000 0.203
Y1 Y 0.000 0.000 0.500
Se1 Se 0.000 0.000 0.000
```

=====

2.
Li5YSe4: optimized geometry, PBE.

Calculated values
* V: 21.5 Å³/atom
* VASP energy: -0.1617 hartree per atom
* raw formation energy: -1.404 eV per atom

```
data_Li5YSe4
_cell_length_a 4.091
_cell_length_b 7.479
_cell_length_c 14.034
_cell_angle_alpha 90.00
_cell_angle_beta 90.00
_cell_angle_gamma 90.00
_symmetry_space_group_name_H-M 'I m m m'
_symmetry_Int_Tables_number 71
_symmetry_space_group_name_Hall '-I 2 2'
loop_
_atom_site_label
_atom_site_type_symbol
_atom_site_fract_x
_atom_site_fract_y
_atom_site_fract_z
Li1 Li 0.000 0.000 0.000
Li2 Li 0.000 0.208 0.321
Y1 Y 0.000 0.500 0.000
Se1 Se 0.000 0.266 0.500
Se2 Se 0.000 0.500 0.211
```

=====

3.
Li3YSe3: optimized geometry, PBE.

Calculated values
* V: 22.5 Å³/atom
* VASP energy: -0.1739 hartree per atom
* raw formation energy: -1.495 eV per atom

```
data_Li3YSe3
_cell_length_a 7.3392
_cell_length_b 7.3392
_cell_length_c 20.2160
_cell_angle_alpha 90.00
_cell_angle_beta 90.00
_cell_angle_gamma 120.00
_symmetry_space_group_name_H-M 'R -3'
_symmetry_Int_Tables_number 148
_symmetry_space_group_name_Hall '-R 3'
loop_
_atom_site_label
_atom_site_type_symbol
_atom_site_fract_x
_atom_site_fract_y
_atom_site_fract_z
Li1 Li 0.0088 0.7010 0.1209
Y1 Y 0.0000 0.0000 0.3339
Se1 Se 0.0042 0.6411 0.9172
```

=====

4.
LiY3Se4: optimized geometry, PBE.

Calculated values
* V: 23.7 Å³/atom
* excess energy over the best structure of this formula in the dataset: 0.000 eV/atom
* VASP energy: -0.2268 hartree per atom
* raw formation energy: -1.766 eV per atom

```
data_LiY3Se4
_cell_length_a 5.744
_cell_length_b 5.744
_cell_length_c 5.744
_cell_angle_alpha 90.00
_cell_angle_beta 90.00
_cell_angle_gamma 90.00
_symmetry_space_group_name_H-M 'P m -3 m'
_symmetry_Int_Tables_number 221
_symmetry_space_group_name_Hall '-P 4 2 3'
loop_
_atom_site_label
_atom_site_type_symbol
_atom_site_fract_x
_atom_site_fract_y
_atom_site_fract_z
Li1 Li 0.000 0.000 0.000
Y1 Y 0.000 0.500 0.500
Se1 Se 0.000 0.000 0.500
Se2 Se 0.500 0.500 0.500
```

=====

5.
Li2YSe2: optimized geometry, PBE.

Calculated values
* V: 22.0 Å³/atom
* VASP energy: -0.1696 hartree per atom
* raw formation energy: -1.163 eV per atom

```
data_Li2YSe2
_cell_length_a 7.592
_cell_length_b 7.592
_cell_length_c 3.821
_cell_angle_alpha 90.00
_cell_angle_beta 90.00
_cell_angle_gamma 90.00
_symmetry_space_group_name_H-M 'P 4/m b m'
_symmetry_Int_Tables_number 127
_symmetry_space_group_name_Hall '-P 4 2ab'
loop_
_atom_site_label
_atom_site_type_symbol
_atom_site_fract_x
_atom_site_fract_y
_atom_site_fract_z
Li1 Li 0.137 0.363 0.000
Y1 Y 0.000 0.000 0.500
Se1 Se 0.174 0.674 0.500
```

=====

6.
Li2YSe: optimized geometry, PBE.

Calculated values
* V: 22.8 Å³/atom
* VASP energy: -0.1489 hartree per atom
* raw formation energy: -0.608 eV per atom

```
data_Li2YSe
_cell_length_a 3.525
_cell_length_b 4.048
_cell_length_c 12.779
_cell_angle_alpha 90.00
_cell_angle_beta 90.00
_cell_angle_gamma 90.00
_symmetry_space_group_name_H-M 'I m m 2'
_symmetry_Int_Tables_number 44
loop_
_symmetry_equiv_pos_as_xyz
'x,y,z'
'-x,-y,z'
'-x,y,z'
'x,-y,z'
'x+1/2,y+1/2,z+1/2'
'-x+1/2,-y+1/2,z+1/2'
'-x+1/2,y+1/2,z+1/2'
'x+1/2,-y+1/2,z+1/2'
loop_
_atom_site_label
_atom_site_type_symbol
_atom_site_fract_x
_atom_site_fract_y
_atom_site_fract_z
Li1 Li 0.000 0.000 0.000
Li2 Li 0.000 0.500 0.134
Y1 Y 0.000 0.000 0.337
Se1 Se 0.000 0.500 0.659
```

=====

7.
Li2YSe: optimized geometry, PBE.

Calculated values
* V: 21.7 Å³/atom
* VASP energy: -0.1464 hartree per atom
* raw formation energy: -0.540 eV per atom

```
data_Li2YSe
_cell_length_a 3.9896
_cell_length_b 3.9896
_cell_length_c 18.8827
_cell_angle_alpha 90.00
_cell_angle_beta 90.00
_cell_angle_gamma 120.00
_symmetry_space_group_name_H-M 'R -3 m'
_symmetry_Int_Tables_number 166
_symmetry_space_group_name_Hall '-R 3 2"'
loop_
_atom_site_label
_atom_site_type_symbol
_atom_site_fract_x
_atom_site_fract_y
_atom_site_fract_z
Li1 Li 0.0000 0.0000 0.2115
Y1 Y 0.0000 0.0000 0.0000
Se1 Se 0.0000 0.0000 0.5000
```

=====

8.
Li2YSe: optimized geometry, PBE.

Calculated values
* V: 21.0 Å³/atom
* VASP energy: -0.1417 hartree per atom
* raw formation energy: -0.411 eV per atom

```
data_Li2YSe
_cell_length_a 6.955
_cell_length_b 6.955
_cell_length_c 6.955
_cell_angle_alpha 90.00
_cell_angle_beta 90.00
_cell_angle_gamma 90.00
_symmetry_space_group_name_H-M 'F -4 3 m'
_symmetry_Int_Tables_number 216
_symmetry_space_group_name_Hall 'F -4 2 3'
loop_
_atom_site_label
_atom_site_type_symbol
_atom_site_fract_x
_atom_site_fract_y
_atom_site_fract_z
Li1 Li 0.000 0.000 0.000
Li2 Li 0.250 0.250 0.250
Y1 Y 0.250 0.250 0.750
Se1 Se 0.000 0.000 0.500
```